(1)
! Ac4SnHgN | Alexandria | PBE-GGA | relaxed; values from VASP
! Symmetry = Cmcm
! Energy relative to the elements, uncorrected = -0.6576 eV/atom
&SYSTEM
  ibrav = 0, nat = 14, ntyp = 4
/
ATOMIC_SPECIES
N 14.01 N.upf
Hg 200.59 Hg.upf
Ac 227.00 Ac.upf
Sn 118.71 Sn.upf
ATOMIC_POSITIONS crystal
N 0.7264 0.2500 0.4528
N 0.2736 0.7500 0.5472
Hg 0.8836 0.7500 0.7672
Hg 0.1164 0.2500 0.2328
Ac 0.0000 0.0000 0.5000
Ac 0.9329 0.2500 0.8658
Ac 0.0000 0.5000 0.5000
Ac 0.5000 0.5000 0.5000
Ac 0.4176 0.7500 0.8353
Ac 0.5000 0.0000 0.5000
Ac 0.5824 0.2500 0.1647
Ac 0.0671 0.7500 0.1342
Sn 0.6129 0.7500 0.2259
Sn 0.3871 0.2500 0.7741
CELL_PARAMETERS angstrom
-1.5852 -6.1816 3.5762
-3.4243 -2.5685 -5.9576
8.3556 -0.4743 -4.5981

***

(2)
! Ac2SnHg2N2 | Alexandria | PBE-GGA | relaxed; values from VASP
! Symmetry = C2/m
! Energy relative to the elements, uncorrected = -0.5142 eV/atom
&SYSTEM
  ibrav = 0, nat = 7, ntyp = 4
/
ATOMIC_SPECIES
Hg 200.59 Hg.upf
Sn 118.71 Sn.upf
N 14.01 N.upf
Ac 227.00 Ac.upf
ATOMIC_POSITIONS crystal
Hg 0.4771 0.7405 0.3052
Hg 0.5229 0.2595 0.6948
Sn 0.0000 0.0000 0.0000
N 0.7914 0.3120 0.1052
N 0.2086 0.6880 0.8948
Ac 0.7878 0.6695 0.7550
Ac 0.2122 0.3305 0.2450
CELL_PARAMETERS angstrom
4.5774 0.0000 0.0000
2.2887 6.4113 0.2985
2.2887 2.7067 6.1026

***

(3)
! Sr2Ac4Hg3N2 | Alexandria | PBE-GGA | relaxed; values from VASP
! Symmetry = I4/mmm
! Energy relative to the elements, uncorrected = -0.5585 eV/atom
&SYSTEM
  ibrav = 0, nat = 11, ntyp = 4
/
ATOMIC_SPECIES
Ac 227.00 Ac.upf
Hg 200.59 Hg.upf
Sr 87.62 Sr.upf
N 14.01 N.upf
ATOMIC_POSITIONS crystal
Ac 0.9163 0.4163 0.8326
Ac 0.0837 0.5837 0.1674
Ac 0.5837 0.0837 0.1674
Ac 0.4163 0.9163 0.8326
Hg 0.0000 0.0000 0.0000
Hg 0.1733 0.1733 0.3466
Hg 0.8267 0.8267 0.6534
Sr 0.3021 0.3021 0.6042
Sr 0.6979 0.6979 0.3958
N 0.3977 0.3977 0.7954
N 0.6023 0.6023 0.2046
CELL_PARAMETERS angstrom
5.1925 0.0000 0.0000
0.0000 5.1925 0.0000
-2.5963 -2.5963 13.2348

***

(4)
! Ac4HgTe2N2 | Alexandria | PBE-GGA | relaxed; values from VASP
! Symmetry = C2/m
! Energy relative to the elements, uncorrected = -1.2248 eV/atom
&SYSTEM
  ibrav = 0, nat = 9, ntyp = 4
/
ATOMIC_SPECIES
Ac 227.00 Ac.upf
N 14.01 N.upf
Hg 200.59 Hg.upf
Te 127.60 Te.upf
ATOMIC_POSITIONS crystal
Ac 0.2198 0.1620 0.4395
Ac 0.4481 0.2480 0.8961
Ac 0.5519 0.7520 0.1039
Ac 0.7802 0.8380 0.5605
N 0.6808 0.9785 0.3616
N 0.3192 0.0215 0.6384
Hg 0.0000 0.0000 0.0000
Te 0.1222 0.5020 0.2444
Te 0.8778 0.4980 0.7556
CELL_PARAMETERS angstrom
4.2938 0.0000 0.0000
0.0000 8.0550 -0.2736
-2.1469 -3.3996 8.4239

***

(5)
! Ac2ZnHgN | Alexandria | PBE-GGA | relaxed; values from VASP
! Symmetry = P2_1/m
! Energy relative to the elements, uncorrected = -0.5819 eV/atom
&SYSTEM
  ibrav = 0, nat = 10, ntyp = 4
/
ATOMIC_SPECIES
Hg 200.59 Hg.upf
N 14.01 N.upf
Ac 227.00 Ac.upf
Zn 65.41 Zn.upf
ATOMIC_POSITIONS crystal
Hg 0.2500 0.6781 0.3085
Hg 0.7500 0.3219 0.6915
N 0.2500 0.8465 0.8248
N 0.7500 0.1535 0.1752
Ac 0.7500 0.8052 0.0490
Ac 0.2500 0.1870 0.3780
Ac 0.7500 0.8130 0.6220
Ac 0.2500 0.1948 0.9510
Zn 0.2500 0.5596 0.7720
Zn 0.7500 0.4404 0.2280
CELL_PARAMETERS angstrom
4.1230 0.0000 0.0000
0.0000 7.4245 0.2984
0.0000 -2.8359 8.4041

***

(6)
! NaAc2Hg | Alexandria | PBE-GGA | relaxed; values from VASP
! Symmetry = R3m
&SYSTEM
  ibrav = 0, nat = 4, ntyp = 3
/
ATOMIC_SPECIES
Na 22.99 Na.upf
Ac 227.00 Ac.upf
Hg 200.59 Hg.upf
ATOMIC_POSITIONS crystal
Na 0.5000 0.5000 0.5000
Ac 0.0714 0.0714 0.7857
Ac 0.2619 0.2619 0.2144
Hg 0.6667 0.6667 0.0000
CELL_PARAMETERS angstrom
4.0070 0.0000 0.0000
2.0035 3.4702 0.0000
2.0035 1.1567 11.5025

***

(7)
! NaAc4Hg4 | Alexandria | PBE-GGA | relaxed; values from VASP
! Symmetry = P4_2/n
&SYSTEM
  ibrav = 0, nat = 18, ntyp = 3
/
ATOMIC_SPECIES
Ac 227.00 Ac.upf
Hg 200.59 Hg.upf
Na 22.99 Na.upf
ATOMIC_POSITIONS crystal
Ac 0.6184 0.0781 0.2777
Ac 0.3816 0.2777 0.9219
Ac 0.3816 0.7223 0.0781
Ac 0.1184 0.2223 0.5781
Ac 0.8816 0.5781 0.7777
Ac 0.6184 0.9219 0.7223
Ac 0.8816 0.4219 0.2223
Ac 0.1184 0.7777 0.4219
Hg 0.8697 0.7360 0.1001
Hg 0.3697 0.6001 0.7640
Hg 0.6303 0.7640 0.3999
Hg 0.8697 0.2640 0.8999
Hg 0.1303 0.8999 0.7360
Hg 0.3697 0.3999 0.2360
Hg 0.1303 0.1001 0.2640
Hg 0.6303 0.2360 0.6001
Na 0.0000 0.0000 0.0000
Na 0.5000 0.5000 0.5000
CELL_PARAMETERS angstrom
6.7735 0.0000 0.0000
0.0000 9.6019 0.0000
0.0000 0.0000 9.6019

***

(8)
! Na2AcHg | Alexandria | PBE-GGA | relaxed; values from VASP
! Symmetry = P4/mmm
&SYSTEM
  ibrav = 0, nat = 4, ntyp = 3
/
ATOMIC_SPECIES
Na 22.99 Na.upf
Hg 200.59 Hg.upf
Ac 227.00 Ac.upf
ATOMIC_POSITIONS crystal
Na 0.0000 0.0000 0.1922
Na 0.0000 0.0000 0.8078
Hg 0.5000 0.5000 0.0000
Ac 0.5000 0.5000 0.5000
CELL_PARAMETERS angstrom
4.0692 0.0000 0.0000
0.0000 4.0692 0.0000
0.0000 0.0000 7.8856

***

| no. | VASP energy (eV/f.u.) |
| --- | --- |
| 1 | -33.67 |
| 2 | -33.07 |
| 3 | -43.50 |
| 4 | -50.69 |
| 5 | -21.03 |
| 6 | -10.17 |
| 7 | -21.25 |
| 8 | -7.07 |